The following is a DFT calculation (PBE-GGA) of a relaxed TbSmTm3 crystal.

Cell lengths 3.5894, 8.5141, 11.4417 Å; angles 90.00, 90.00, 102.15 degrees
Closest atoms and distances in Å follow each position.
Atoms (fractional coordinates):
Tb: 0.3108 0.1219 0.2500  6 Tm 3.21-3.43, 2 Sm 3.41, 2 Tb 3.59
Tb: 0.6892 0.8781 0.7500  6 Tm 3.21-3.43, 2 Sm 3.41, 2 Tb 3.59
Sm: 0.9854 0.4707 0.2500  2 Tm 3.30, 2 Tb 3.41, 2 Sm 3.59
Sm: 0.0146 0.5293 0.7500  2 Tm 3.30, 2 Tb 3.41, 2 Sm 3.59
Tm: 0.8420 0.1839 0.9989  6 Tm 3.37-3.59, 2 Tb 3.43, 1 Sm 3.74
Tm: 0.1580 0.8161 0.0011  6 Tm 3.37-3.59, 2 Tb 3.43, 1 Sm 3.74
Tm: 0.8420 0.1839 0.5011  6 Tm 3.37-3.59, 2 Tb 3.43, 1 Sm 3.74
Tm: 0.1580 0.8161 0.4989  6 Tm 3.37-3.59, 2 Tb 3.43, 1 Sm 3.74
Tm: 0.6514 0.8027 0.2500  2 Tb 3.21, 2 Sm 3.30, 6 Tm 3.37-3.59
Tm: 0.3486 0.1973 0.7500  2 Tb 3.21, 2 Sm 3.30, 6 Tm 3.37-3.59

Calculated values
distance to the lowest polymorph of the same formula = 1.523 eV per formula unit
crystal system = orthorhombic
energy of formation = 0.31 eV/atom
energy = -4.243 eV/atom
SG = Cmcm (63)